! Sr4ZnCuW2O12 | the Alexandria database | PBEsol | optimized geometry; values from VASP
&SYSTEM
  ibrav = 0, nat = 20, ntyp = 5
/
ATOMIC_SPECIES
O 16.00 O.upf
Sr 87.62 Sr.upf
W 183.84 W.upf
Zn 65.41 Zn.upf
Cu 63.55 Cu.upf
CELL_PARAMETERS angstrom
-0.434 2.826 4.733
1.076 -4.613 2.853
7.871 1.667 -0.273
ATOMIC_POSITIONS angstrom
O 4.488 -0.846 5.531
O 6.307 0.374 3.586
O 5.818 1.232 -0.202
O 4.618 -1.901 2.841
O 2.053 0.435 -0.071
O 0.239 -0.822 1.876
O 0.715 -2.771 3.707
O 4.025 0.726 1.782
O 0.402 -0.965 5.710
O 2.205 -0.494 3.728
O -0.074 0.984 3.880
O 3.895 1.780 4.473
Sr 1.757 1.831 2.298
Sr 5.680 2.662 2.162
Sr 6.435 -1.058 1.222
Sr 2.512 -1.889 1.358
W 3.936 0.833 -0.136
W 0.321 -0.894 3.793
Zn 0.000 0.000 0.000
Cu 4.256 -0.060 3.657
! * formation energy from raw total energies: -2.3821 eV/atom
! * electronic total energy: -7.58 eV per atom

=====

! Sr9Zn4Cu2O14 | the Alexandria database | PBEsol | optimized geometry; values from VASP
&SYSTEM
  ibrav = 0, nat = 29, ntyp = 4
/
ATOMIC_SPECIES
O 16.00 O.upf
Sr 87.62 Sr.upf
Zn 65.41 Zn.upf
Cu 63.55 Cu.upf
CELL_PARAMETERS angstrom
-2.852 -1.997 -0.890
8.070 -6.307 -4.454
-0.085 -4.481 10.320
ATOMIC_POSITIONS angstrom
O 2.501 -4.588 2.275
O 2.518 -9.588 6.183
O 2.496 -6.538 -0.585
O -0.238 -5.241 5.262
O 4.038 -7.626 -3.086
O 2.632 -8.197 2.701
O -0.356 -2.602 -0.277
O 2.615 -3.197 -1.207
O 2.637 -6.247 5.561
O 5.489 -10.182 5.253
O 1.095 -5.159 8.062
O 4.830 -10.847 1.601
O 5.371 -7.544 -0.286
O 0.303 -1.937 3.375
Sr 4.151 -5.030 -2.015
Sr 1.098 -6.382 3.543
Sr -1.368 -4.758 7.799
Sr 1.028 -4.729 0.059
Sr 4.035 -6.403 1.433
Sr -1.468 -3.239 4.715
Sr 6.501 -8.027 -2.823
Sr 4.104 -8.055 4.917
Sr 0.982 -7.754 6.991
Zn 3.723 -8.020 -1.195
Zn 3.771 -11.107 5.576
Zn 1.409 -4.765 6.171
Zn 1.362 -1.678 -0.600
Cu 3.747 -9.536 2.132
Cu 1.386 -3.248 2.843
! * formation energy from raw total energies: -2.1835 eV/atom
! * electronic total energy: -5.81 eV per atom

=====

! SrZr2CuO | the Alexandria database | PBEsol | optimized geometry; values from VASP
&SYSTEM
  ibrav = 0, nat = 5, ntyp = 4
/
ATOMIC_SPECIES
Zr 91.22 Zr.upf
Cu 63.55 Cu.upf
O 16.00 O.upf
Sr 87.62 Sr.upf
CELL_PARAMETERS angstrom
-3.742 -0.952 -1.813
-0.396 -3.369 2.586
-2.785 3.378 3.975
ATOMIC_POSITIONS angstrom
Zr -1.871 -0.476 -0.906
Zr -0.198 -1.685 1.293
Cu -1.393 1.689 1.987
O 0.000 0.000 0.000
Sr -3.461 -0.471 2.374
! * formation energy from raw total energies: -0.5151 eV/atom
! * electronic total energy: -6.44 eV per atom

=====

! TaCuO3 | the Alexandria database | PBEsol | optimized geometry; values from VASP
&SYSTEM
  ibrav = 0, nat = 20, ntyp = 3
/
ATOMIC_SPECIES
Ta 180.95 Ta.upf
O 16.00 O.upf
Cu 63.55 Cu.upf
CELL_PARAMETERS angstrom
-0.274 0.356 6.370
6.299 -0.366 0.987
0.439 6.716 -0.364
ATOMIC_POSITIONS angstrom
Ta 1.263 3.570 5.109
Ta 1.834 4.909 1.580
Ta 4.630 1.798 5.412
Ta 5.200 3.137 1.884
O 4.751 1.365 1.080
O 0.334 1.850 4.698
O 6.129 4.856 2.295
O 5.494 3.727 6.209
O 2.359 6.597 1.995
O 2.921 2.737 5.373
O 1.712 5.342 5.912
O 5.036 2.504 3.640
O 1.427 4.202 3.352
O 3.542 3.970 1.620
O 4.105 0.110 4.997
O 0.969 2.980 0.784
Cu 5.304 -0.256 1.801
Cu 0.720 0.247 5.556
Cu 1.383 1.354 1.507
Cu 5.081 5.353 5.486
! * formation energy from raw total energies: -2.0571 eV/atom
! * electronic total energy: -8.58 eV per atom

=====

! Ta2CuO6 | the Alexandria database | PBEsol | optimized geometry; values from VASP
&SYSTEM
  ibrav = 0, nat = 18, ntyp = 3
/
ATOMIC_SPECIES
O 16.00 O.upf
Ta 180.95 Ta.upf
Cu 63.55 Cu.upf
CELL_PARAMETERS angstrom
6.506 0.010 0.006
-2.256 6.102 -0.006
2.134 3.050 5.336
ATOMIC_POSITIONS angstrom
O 4.312 3.225 3.646
O 5.911 2.112 1.696
O -0.117 4.614 0.532
O 3.714 3.693 0.940
O 1.690 3.358 2.731
O 2.081 1.345 0.940
O 4.302 7.817 4.395
O 2.072 5.937 1.690
O 2.669 5.469 4.395
O 4.693 5.804 2.605
O 6.500 4.547 4.804
O 0.472 7.049 3.640
Ta 3.192 4.581 2.668
Ta 1.067 1.525 2.668
Ta -1.128 3.051 -0.003
Ta 3.253 0.005 0.003
Cu 2.125 3.056 0.000
Cu 4.320 1.530 2.671
! * formation energy from raw total energies: -2.2988 eV/atom
! * electronic total energy: -9.07 eV per atom

=====

! Ta16Cu9O48 | the Alexandria database | PBEsol | optimized geometry; values from VASP
&SYSTEM
  ibrav = 0, nat = 73, ntyp = 3
/
ATOMIC_SPECIES
O 16.00 O.upf
Cu 63.55 Cu.upf
Ta 180.95 Ta.upf
CELL_PARAMETERS angstrom
10.621 0.001 0.000
-0.027 10.621 0.000
-5.297 -5.311 7.527
ATOMIC_POSITIONS angstrom
O 1.641 3.672 1.354
O 5.985 2.577 0.000
O -0.673 -2.636 3.773
O 0.953 6.274 5.188
O 9.948 2.722 0.000
O 2.663 4.631 3.754
O 3.668 1.650 1.354
O 2.561 5.992 0.000
O 0.948 6.279 2.339
O 6.277 0.964 2.339
O 1.558 -1.554 5.221
O -2.634 -0.680 3.773
O 2.696 9.955 0.000
O 4.609 8.046 0.000
O 0.673 2.636 3.773
O 7.931 5.992 3.754
O -1.558 1.554 5.221
O -0.975 4.342 2.339
O 6.272 0.969 5.188
O 4.624 2.675 3.754
O 3.657 1.639 6.172
O 3.721 6.883 5.208
O 0.646 7.900 0.000
O -3.657 -1.639 6.172
O -0.993 -0.996 6.127
O 4.304 4.315 1.400
O 6.926 8.972 1.354
O 5.970 7.947 3.754
O 1.629 3.661 6.172
O 4.249 4.261 5.995
O 2.634 0.680 3.773
O 4.349 -0.968 5.188
O -1.048 -1.050 1.532
O 8.034 4.631 0.000
O 4.345 -0.963 2.339
O 6.873 3.739 5.208
O 1.576 -1.572 2.319
O 6.291 6.307 1.400
O 6.345 6.362 5.995
O 3.739 6.865 2.305
O 6.855 3.757 2.305
O 8.954 6.950 1.354
O 0.993 0.996 6.127
O -0.980 4.347 5.188
O 7.899 0.668 0.000
O -1.576 1.572 2.319
O -1.629 -3.661 6.172
O 1.048 1.050 1.532
Cu 7.964 2.652 0.000
Cu 2.630 7.971 0.000
Cu 2.658 2.665 0.000
Cu -0.014 5.311 3.763
Cu 2.649 2.656 3.763
Cu 5.311 0.001 3.763
Cu 5.297 5.311 0.000
Cu -2.649 -2.656 3.763
Cu 7.936 7.957 0.000
Ta -0.038 2.664 5.631
Ta 7.961 5.281 1.896
Ta 5.259 7.975 1.896
Ta 2.664 -0.031 5.631
Ta 0.038 -2.664 5.631
Ta 2.689 5.324 5.651
Ta -2.664 0.031 5.631
Ta 2.633 5.342 1.896
Ta 2.608 -0.013 1.876
Ta 5.335 2.647 1.896
Ta -0.020 2.608 1.876
Ta 5.304 -2.702 5.651
Ta 5.317 2.703 5.651
Ta -2.716 5.297 5.651
Ta 8.013 0.014 1.876
Ta -0.007 8.013 1.876
! * formation energy from raw total energies: -2.2891 eV/atom
! * electronic total energy: -9.03 eV per atom